VASP calculation (PBE) on a geometry-optimized AlTl2SbSe5 structure.

- DOS(E_F) (states/eV/cell) = 17.78
- calculated density (g/cm³) = 6.35
- uncorrected formation energy (eV per atom) = -0.413

Structure (CIF):
```
data_AlTl2SbSe5
_chemical_formula_sum 'Al4 Tl8 Sb4 Se20'
_symmetry_space_group_name_H-M 'C m c 21'
_symmetry_Int_Tables_number 36
_symmetry_space_group_name_Hall 'C 2c -2'
_cell_length_a 3.911
_cell_length_b 19.155
_cell_length_c 13.296
_cell_angle_alpha 90.00
_cell_angle_beta 90.00
_cell_angle_gamma 90.00
loop_
_atom_site_label
_atom_site_fract_x
_atom_site_fract_y
_atom_site_fract_z
_atom_site_occupancy
Al1 0.000 0.053 0.000 1
Tl1 0.000 0.375 0.887 1
Tl2 0.000 0.392 0.240 1
Sb1 0.000 0.295 0.598 1
Se1 0.000 0.012 0.348 1
Se2 0.000 0.157 0.556 1
Se3 0.000 0.176 0.948 1
Se4 0.000 0.212 0.249 1
Se5 0.000 0.459 0.607 1
```